The following is a GGA+U calculation of a geometry-optimized NaVO4 structure, from the Alexandria database.

Its theoretical density is 2.30 Mg/m³. The calculation puts the total moment at 0.000 μB/f.u. The value obtained for the total energy is -6.2202 eV/atom.

Cell and atoms, written as POSCAR:
```
NaVO4
1.0
5.858 -3.158 0.000
5.858 3.158 0.000
-1.001 0.000 5.376
Na V O
2 2 8
Direct
0.105 0.105 0.346 Na
0.895 0.895 0.654 Na
0.429 0.429 0.686 V
0.571 0.571 0.314 V
0.226 0.652 0.943 O
0.289 0.289 0.578 O
0.304 0.696 0.500 O
0.348 0.774 0.057 O
0.652 0.226 0.943 O
0.696 0.304 0.500 O
0.711 0.711 0.422 O
0.774 0.348 0.057 O
```